Density functional theory data (GGA-PBE) for TlAsRu2O8 after structural relaxation.

Cell: 8.1037 6.0118 7.2750 Å, 90.00 108.81 90.00°
Space group C2/m (No. 12)
Symmetry-distinct sites (fractional):
Tl  0.0000  0.0000  0.0000
As  0.0000  0.0000  0.5000
Ru  0.0533  0.5000  0.2355
O  0.0380  0.2395  0.7061
O  0.1552  0.5000  0.0453
O  0.2366  0.0000  0.5417

Properties
- Raw total energy: -148.2 eV for the cell shown
- Calculated volume: 13.98 Å³/atom
- Total moment: 0.00 Bohr magnetons per cell
- Uncorrected formation energy: -0.74 eV per atom
- Fermi-level density of states: 7.17 states/eV/f.u.